[1]
Below is an optimized crystal structure of Tb6Ho7Er16, with properties calculated at the PBE level.

```
data_Tb6Ho7Er16
_cell_length_a 15.554
_cell_length_b 15.554
_cell_length_c 15.554
_cell_angle_alpha 90.00
_cell_angle_beta 90.00
_cell_angle_gamma 90.00
_symmetry_space_group_name_H-M 'F m -3 m'
_symmetry_Int_Tables_number 225
_symmetry_space_group_name_Hall '-F 4 2 3'
loop_
_atom_site_label
_atom_site_type_symbol
_atom_site_fract_x
_atom_site_fract_y
_atom_site_fract_z
Tb1 Tb 0.000 0.000 0.219
Ho1 Ho 0.000 0.000 0.500
Ho2 Ho 0.000 0.250 0.250
Er1 Er 0.123 0.123 0.377
Er2 Er 0.153 0.153 0.153
```

The value obtained for the formation energy from the elements is 0.2497 eV/atom. As for the magnetic moment: 4.6 μB per formula unit.

***

[2]
Below is an optimized crystal structure of Tb5Ho6Er, with properties calculated at the PBE level.

```
data_Tb5Ho6Er
_cell_length_a 6.116
_cell_length_b 10.582
_cell_length_c 11.692
_cell_angle_alpha 90.00
_cell_angle_beta 99.98
_cell_angle_gamma 90.00
_symmetry_space_group_name_H-M 'C 1 2/m 1'
_symmetry_Int_Tables_number 12
_symmetry_space_group_name_Hall '-C 2y'
loop_
_atom_site_label
_atom_site_type_symbol
_atom_site_fract_x
_atom_site_fract_y
_atom_site_fract_z
Tb1 Tb 0.000 0.000 0.000
Tb2 Tb 0.000 0.167 0.500
Tb3 Tb 0.000 0.333 0.000
Ho1 Ho 0.250 0.000 0.750
Ho2 Ho 0.250 0.167 0.250
Er1 Er 0.000 0.500 0.500
```

The value obtained for the formation energy from the elements is 0.0169 eV/atom. The energy above the most stable polymorph in this dataset is 0 meV per atom. As for the magnetic moment: 0.0 μB per formula unit.

***

[3]
Below is an optimized crystal structure of TbHo6Er12, with properties calculated at the PBE level.

```
data_TbHo6Er12
_cell_length_a 14.9381
_cell_length_b 14.9381
_cell_length_c 9.8565
_cell_angle_alpha 90.00
_cell_angle_beta 90.00
_cell_angle_gamma 120.00
_symmetry_space_group_name_H-M 'R -3 m'
_symmetry_Int_Tables_number 166
_symmetry_space_group_name_Hall '-R 3 2"'
loop_
_atom_site_label
_atom_site_type_symbol
_atom_site_fract_x
_atom_site_fract_y
_atom_site_fract_z
Tb1 Tb 0.0000 0.0000 0.0000
Ho1 Ho 0.0535 0.5267 0.2092
Er1 Er 0.0000 0.3898 0.5000
Er2 Er 0.0723 0.1447 0.2869
```

The value obtained for the formation energy from the elements is 0.4528 eV/atom. The energy above the most stable polymorph in this dataset is 291 meV per atom. As for the magnetic moment: 0.0 μB per formula unit.

***

[4]
Below is an optimized crystal structure of Tb15HoEr4, with properties calculated at the PBE level.

```
data_Tb15HoEr4
_cell_length_a 5.010
_cell_length_b 5.010
_cell_length_c 25.023
_cell_angle_alpha 90.00
_cell_angle_beta 90.00
_cell_angle_gamma 90.00
_symmetry_space_group_name_H-M 'P 4/m m m'
_symmetry_Int_Tables_number 123
_symmetry_space_group_name_Hall '-P 4 2'
loop_
_atom_site_label
_atom_site_type_symbol
_atom_site_fract_x
_atom_site_fract_y
_atom_site_fract_z
Tb1 Tb 0.000 0.000 0.000
Tb2 Tb 0.000 0.000 0.200
Tb3 Tb 0.000 0.000 0.400
Tb4 Tb 0.000 0.500 0.100
Tb5 Tb 0.000 0.500 0.300
Tb6 Tb 0.000 0.500 0.500
Ho1 Ho 0.500 0.500 0.000
Er1 Er 0.500 0.500 0.200
Er2 Er 0.500 0.500 0.400
```

The value obtained for the formation energy from the elements is 0.0173 eV/atom. As for the magnetic moment: 0.0 μB per formula unit.